Material: Pr3Ti5Pd12
Method: DFT, PBE-GGA
State: optimized geometry

It has space group Ia-3d (No. 230), with a = 15.4937 Å, b = 15.4937 Å, c = 15.4937 Å, α = 90.00°, β = 90.00° and γ = 90.00°. The distinct sites, in fractional coordinates, are Pr at (0.0000, 0.2500, 0.1250), Ti at (0.0000, 0.0000, 0.0000), Ti at (0.0000, 0.2500, 0.3750) and Pd at (0.0576, 0.0692, 0.6285).

The calculation puts the volume at 3719.36 Å³ per cell. Its formation energy is 0.0211 eV/atom.

=====

Material: SrLa2Te3
Method: DFT, PBE-GGA
State: optimized geometry

It has space group Immm (No. 71), with a = 4.5950 Å, b = 6.5299 Å, c = 13.9651 Å, α = 90.00°, β = 90.00° and γ = 90.00°. The distinct sites, in fractional coordinates, are Sr at (0.0000, 0.0000, 0.0000), La at (0.0000, 0.0000, 0.3349), Te at (0.0000, 0.5000, 0.0000) and Te at (0.0000, 0.5000, 0.3315).

For the formation energy from raw total energies, the calculation gives -1.615 eV/atom. The calculation puts the volume at 419.02 Å³ per cell.

=====

Material: Tl2GeBr2Cl2
Method: DFT, PBE-GGA
State: optimized geometry

It has space group I4/mmm (No. 139), with a = 5.2274 Å, b = 5.2274 Å, c = 16.8640 Å, α = 90.00°, β = 90.00° and γ = 90.00°. The distinct sites, in fractional coordinates, are Tl at (0.0000, 0.0000, 0.1407), Ge at (0.0000, 0.0000, 0.5000), Br at (0.0000, 0.0000, 0.3326) and Cl at (0.0000, 0.5000, 0.0000).

For the formation energy from raw total energies, the calculation gives -0.828 eV/atom. The calculation puts the volume at 460.82 Å³ per cell.

=====

Material: PmDy2Lu
Method: DFT, PBE-GGA
State: optimized geometry

It has space group Fm-3m (No. 225), with a = 8.0018 Å, b = 8.0018 Å, c = 8.0018 Å, α = 90.00°, β = 90.00° and γ = 90.00°. The distinct sites, in fractional coordinates, are Pm at (0.0000, 0.0000, 0.0000), Dy at (0.2500, 0.2500, 0.2500) and Lu at (0.0000, 0.0000, 0.5000).

The calculation puts the volume at 512.34 Å³ per cell. For the energy above the lowest structure with this stoichiometry, the calculation gives 125 meV/atom. Its formation energy is 0.1483 eV/atom.

=====

Material: Pm2Dy3Os2
Method: DFT, PBE-GGA
State: optimized geometry

It has space group C2/m (No. 12), with a = 12.0602 Å, b = 3.9674 Å, c = 8.5510 Å, α = 90.00°, β = 113.99° and γ = 90.00°. The distinct sites, in fractional coordinates, are Pm at (0.1629, 0.0000, 0.3059), Dy at (0.0000, 0.5000, 0.5000), Dy at (0.1253, 0.5000, 0.9269) and Os at (0.1761, 0.0000, 0.7212).

The calculation puts the volume at 373.82 Å³ per cell. Its formation energy is -0.1965 eV/atom.

=====

Material: ThBeSi
Method: DFT, PBE-GGA
State: optimized geometry

It has space group P-6m2 (No. 187), with a = 3.9280 Å, b = 3.9280 Å, c = 4.2750 Å, α = 90.00°, β = 90.00° and γ = 120.00°. The distinct sites, in fractional coordinates, are Th at (0.0000, 0.0000, 0.0000), Be at (0.3333, 0.6667, 0.5000) and Si at (0.6667, 0.3333, 0.5000).

For the formation energy from raw total energies, the calculation gives -0.650 eV/atom. The calculation puts the volume at 57.12 Å³ per cell.

=====

Material: CeGaSbRh3
Method: DFT, PBE-GGA
State: optimized geometry

It has space group Cmcm (No. 63), with a = 5.9277 Å, b = 12.5906 Å, c = 6.1556 Å, α = 90.00°, β = 90.00° and γ = 90.00°. The distinct sites, in fractional coordinates, are Ce at (0.0000, 0.1714, 0.2500), Ga at (0.0000, 0.4110, 0.2500), Sb at (0.0000, 0.1399, 0.7500), Rh at (0.0000, 0.3439, 0.7500) and Rh at (0.2359, 0.0000, 0.0000).

For the formation energy from raw total energies, the calculation gives -0.508 eV/atom. The calculation puts the volume at 459.42 Å³ per cell.

=====

Material: Ac2LaSb
Method: DFT, PBE-GGA
State: optimized geometry

It has space group P4/mmm (No. 123), with a = 4.3830 Å, b = 4.3830 Å, c = 7.7382 Å, α = 90.00°, β = 90.00° and γ = 90.00°. The distinct sites, in fractional coordinates, are Ac at (0.0000, 0.0000, 0.2206), La at (0.5000, 0.5000, 0.5000) and Sb at (0.5000, 0.5000, 0.0000).

For the formation energy from raw total energies, the calculation gives -0.452 eV/atom. The calculation puts the volume at 148.66 Å³ per cell. For the energy above the lowest structure with this stoichiometry, the calculation gives 48 meV/atom.

=====

Material: Mg3Pa3MoN8
Method: DFT, PBE-GGA
State: optimized geometry

It has space group R-3m (No. 166, hexagonal axes), with a = 6.7506 Å, b = 6.7506 Å, c = 15.5608 Å, α = 90.00°, β = 90.00° and γ = 120.00°. The distinct sites, in fractional coordinates, are Mg at (0.0000, 0.5000, 0.0000), Pa at (0.0000, 0.5000, 0.5000), Mo at (0.0000, 0.0000, 0.5000), N at (0.0000, 0.0000, 0.2522) and N at (0.0177, 0.5089, 0.2407).

For the formation energy from raw total energies, the calculation gives -1.026 eV/atom. The calculation puts the volume at 614.12 Å³ per cell.

=====

Material: Nd3DyEr7
Method: DFT, PBE-GGA
State: optimized geometry

It has space group Immm (No. 71), with a = 5.8187 Å, b = 11.1361 Å, c = 11.1780 Å, α = 90.00°, β = 90.00° and γ = 90.00°. The distinct sites, in fractional coordinates, are Nd at (0.0000, 0.0000, 0.0000), Nd at (0.0000, 0.5000, 0.2869), Dy at (0.0000, 0.0000, 0.5000), Er at (0.0000, 0.2076, 0.1960), Er at (0.0000, 0.2938, 0.5000) and Er at (0.0000, 0.5000, 0.0000).

The calculation puts the volume at 724.31 Å³ per cell. For the energy above the lowest structure with this stoichiometry, the calculation gives 124 meV/atom. Its formation energy is 0.2776 eV/atom.

=====

Material: Hf6VZn5
Method: DFT, PBE-GGA
State: optimized geometry

It has space group Cmmm (No. 65), with a = 4.6926 Å, b = 14.0610 Å, c = 6.5785 Å, α = 90.00°, β = 90.00° and γ = 90.00°. The distinct sites, in fractional coordinates, are Hf at (0.0000, 0.0000, 0.2454), Hf at (0.0000, 0.3346, 0.2465), V at (0.0000, 0.5000, 0.0000), Zn at (0.0000, 0.1638, 0.0000), Zn at (0.0000, 0.1683, 0.5000) and Zn at (0.0000, 0.5000, 0.5000).

The calculation puts the volume at 434.07 Å³ per cell. Its formation energy is -0.1462 eV/atom.

=====

Material: La3SiGe3
Method: DFT, PBE-GGA
State: optimized geometry

It has space group Imm2 (No. 44), with a = 4.1216 Å, b = 4.6074 Å, c = 18.6167 Å, α = 90.00°, β = 90.00° and γ = 90.00°. The distinct sites, in fractional coordinates, are La at (0.0000, 0.0000, 0.0000), La at (0.0000, 0.0000, 0.3597), La at (0.0000, 0.5000, 0.6776), Si at (0.0000, 0.5000, 0.1125), Ge at (0.0000, 0.0000, 0.5322), Ge at (0.0000, 0.0000, 0.8308) and Ge at (0.0000, 0.5000, 0.2433).

For the formation energy from raw total energies, the calculation gives -0.771 eV/atom. The calculation puts the volume at 353.52 Å³ per cell.